Computed, not measured: a PBEsol-optimized structure of Li2LaCo at the SCAN level of DFT.

abc: 3.804 3.805 5.261
angles: 90.00 90.00 94.56
Sites, in units of the cell vectors:
Li 0.203 0.297 0.000
Li 0.797 0.703 0.000
Co 0.000 0.500 0.500
La 0.500 0.000 0.500

Output
- DFT total energy (eV per cell) = -64.151
- E above lowest polymorph (meV per atom) = 0
- calculated formation energy (eV per atom) = 0.2596